A plane-wave DFT calculation with PBE+U was carried out for an optimized crystal structure of InNi2F.

Properties
**Calculated total energy**: -1.958 eV per atom

Structure (CIF):
```
data_InNi2F
_chemical_formula_sum 'In4 Ni8 F4'
_symmetry_space_group_name_H-M 'F m -3 m'
_symmetry_Int_Tables_number 225
_symmetry_space_group_name_Hall '-F 4 2 3'
_cell_length_a 5.950
_cell_length_b 5.950
_cell_length_c 5.950
_cell_angle_alpha 90.00
_cell_angle_beta 90.00
_cell_angle_gamma 90.00
loop_
_atom_site_label
_atom_site_fract_x
_atom_site_fract_y
_atom_site_fract_z
In1 0.000 0.000 0.000
Ni1 0.250 0.250 0.250
F1 0.000 0.000 0.500
```